First-principles (GGA-PBEsol) data for CaMnSe2 after structural relaxation, as listed in Alexandria.

Properties
Its magnetization is 1.19 μB/atom. For the excess energy over the best structure of this formula in the dataset, the calculation gives 0.400 eV per atom. The formation energy without anion corrections comes out at -0.69 eV per atom. Its space group is P4/mmm.

The structure in POSCAR format:
```
CaMnSe2
1.0
-0.036 -2.587 2.268
3.349 0.492 0.614
-1.578 4.444 5.045
Ca Mn Se
1 1 2
Direct
0.500 0.500 0.000 Ca
0.500 0.500 0.500 Mn
0.000 0.000 0.734 Se
0.000 0.000 0.266 Se
```